No. 1
# HgBRh2

A geometry-optimized HgBRh2 structure (PBE, the Alexandria database).

The calculation puts the total energy at -5.520 eV/atom. Its density of states at the Fermi level is 2.63 states/eV/f.u. The formation energy comes out at -99 meV per atom.

The structure belongs to space group Imm2 (No. 44); the cell edges are 2.8538, 2.8890 and 14.0270 Å and the angles 90.00°, 90.00° and 90.00°. Symmetry generates all atoms from Hg at (0.0000, 0.0000, 0.0000), B at (0.0000, 0.5000, 0.2401), Rh at (0.0000, 0.0000, 0.3485) and Rh at (0.0000, 0.5000, 0.6763).


No. 2
# HgB2Rh3

A geometry-optimized HgB2Rh3 structure (PBE, the Alexandria database).

The calculation puts the total energy at -6.107 eV/atom. Its density of states at the Fermi level is 1.75 states/eV/f.u. The formation energy comes out at -156 meV per atom.

The structure belongs to space group Imma (No. 74); the cell edges are 5.6905, 9.7915 and 5.6756 Å and the angles 90.00°, 90.00° and 90.00°. Symmetry generates all atoms from Hg at (0.0000, 0.2500, 0.2427), B at (0.0000, 0.0829, 0.7490), Rh at (0.2499, 0.0000, 0.0000) and Rh at (0.2500, 0.2500, 0.7500).


No. 3
# HgBRh2

A geometry-optimized HgBRh2 structure (PBE, the Alexandria database).

The calculation puts the total energy at -5.400 eV/atom. Its density of states at the Fermi level is 2.10 states/eV/f.u. The formation energy comes out at 20 meV per atom.

The structure belongs to space group P4/mmm (No. 123); the cell edges are 2.7879, 2.7879 and 7.0139 Å and the angles 90.00°, 90.00° and 90.00°. Symmetry generates all atoms from Hg at (0.0000, 0.0000, 0.0000), B at (0.0000, 0.0000, 0.5000) and Rh at (0.5000, 0.5000, 0.3182).


No. 4
# HgB2Rh

A geometry-optimized HgB2Rh structure (PBE, the Alexandria database).

The calculation puts the total energy at -4.580 eV/atom. Its density of states at the Fermi level is 1.58 states/eV/f.u. The formation energy comes out at 672 meV per atom.

The structure belongs to space group I-42d (No. 122); the cell edges are 5.1088, 5.1088 and 9.6859 Å and the angles 90.00°, 90.00° and 90.00°. Symmetry generates all atoms from Hg at (0.0000, 0.0000, 0.0000), B at (0.1869, 0.2500, 0.6250) and Rh at (0.0000, 0.0000, 0.5000).